# 1
# PaNbIr

An optimized crystal structure of PaNbIr (GGA-PBE, the Alexandria database).

Lattice parameters (Å, degrees): 3.071 3.071 6.591 103.47 103.47 90.00
Fractional positions:
Nb (0.687, 0.687, 0.374)
Pa (0.996, 0.996, 0.992)
Ir (0.317, 0.317, 0.635)

**Symmetry**: I4mm, No. 107
**Energy relative to the lowest polymorph listed for this composition**: 0.000 eV per atom
**Formation energy from the elements**: -300 meV/atom
**Density**: 14601 kg/m³

# 2
# PaNb2Ir

An optimized crystal structure of PaNb2Ir (GGA-PBE, the Alexandria database).

Lattice parameters (Å, degrees): 2.954 2.954 10.255 81.72 81.72 60.00
Fractional positions:
Nb (0.094, 0.094, 0.718)
Nb (0.906, 0.906, 0.282)
Pa (0.000, 0.000, 0.000)
Ir (0.500, 0.500, 0.500)

**Symmetry**: R-3m, No. 166
**Formation energy from the elements**: 241 meV/atom
**Density**: 13238 kg/m³

# 3
# PaNbIr

An optimized crystal structure of PaNbIr (GGA-PBE, the Alexandria database).

Lattice parameters (Å, degrees): 5.229 7.151 7.151 90.00 90.00 90.00
Fractional positions:
Ir (0.000, 0.500, 0.801)
Ir (0.500, 0.199, 0.500)
Ir (0.500, 0.801, 0.500)
Ir (0.000, 0.500, 0.199)
Pa (0.000, 0.771, 0.500)
Pa (0.500, 0.500, 0.771)
Pa (0.500, 0.500, 0.229)
Pa (0.000, 0.229, 0.500)
Nb (0.000, 0.827, 0.000)
Nb (0.500, 0.000, 0.827)
Nb (0.500, 0.000, 0.173)
Nb (0.000, 0.173, 0.000)

**Symmetry**: P4_2/mmc, No. 131
**Energy relative to the lowest polymorph listed for this composition**: 0.119 eV per atom
**Formation energy from the elements**: -180 meV/atom
**Density**: 12822 kg/m³

# 4
# ScPaNbIr

An optimized crystal structure of ScPaNbIr (GGA-PBE, the Alexandria database).

Lattice parameters (Å, degrees): 4.808 4.808 4.808 60.00 60.00 60.00
Fractional positions:
Sc (0.000, 0.000, 0.000)
Nb (0.250, 0.250, 0.250)
Pa (0.500, 0.500, 0.500)
Ir (0.750, 0.750, 0.750)

**Symmetry**: F-43m, No. 216
**Formation energy from the elements**: -372 meV/atom
**Density**: 11859 kg/m³

# 5
# Pa2NbSi3Ir4

An optimized crystal structure of Pa2NbSi3Ir4 (GGA-PBE, the Alexandria database).

Lattice parameters (Å, degrees): 4.088 4.088 10.486 90.00 90.00 90.00
Fractional positions:
Pa (0.500, 0.000, 0.238)
Pa (0.000, 0.500, 0.762)
Nb (0.500, 0.500, 0.500)
Si (0.000, 0.000, 0.500)
Si (0.500, 0.000, 0.872)
Si (0.000, 0.500, 0.128)
Ir (0.500, 0.500, 0.000)
Ir (0.000, 0.000, 0.000)
Ir (0.500, 0.000, 0.645)
Ir (0.000, 0.500, 0.355)

**Symmetry**: P-4m2, No. 115
**E_form (uncorrected)**: -877.1 kJ/mol of formula units
**Density**: 13341 kg/m³

# 6
# PaTiNbIr

An optimized crystal structure of PaTiNbIr (GGA-PBE, the Alexandria database).

Lattice parameters (Å, degrees): 4.716 4.716 4.716 60.00 60.00 60.00
Fractional positions:
Nb (0.250, 0.250, 0.250)
Pa (0.000, 0.000, 0.000)
Ti (0.500, 0.500, 0.500)
Ir (0.750, 0.750, 0.750)

**Symmetry**: F-43m, No. 216
**Formation energy from the elements**: -374 meV/atom
**Density**: 12627 kg/m³

In A^3/atom, the calculated volume values for the records above are, in order, 19.57 19.10 22.28 19.64 17.53 18.54.